The following is a PBE calculation of a relaxed NaNbHgI2 crystal, from the Alexandria database.

Cell lengths 5.4772, 6.4101, 5.4772 Å; angles 90.00, 90.00, 90.00 degrees
Element x y z (fractional)
I (0.5000, 0.0000, 0.0000)
I (0.0000, 0.0000, 0.5000)
Nb (0.0000, 0.0000, 0.0000)
Hg (0.5000, 0.5000, 0.5000)
Na (0.0000, 0.5000, 0.0000)

* total DFT energy (no corrections): -2.768 eV/atom
* mass density: 4.9 Mg/m³
* E_form (uncorrected): 190 meV/atom
* symmetry: P4/mmm (123)

The following is a PBE calculation of a relaxed Mg3ZnAu3 crystal, from the Alexandria database.

Cell lengths 6.2122, 6.2122, 7.3441 Å; angles 93.55, 93.55, 107.12 degrees
Element x y z (fractional)
Mg (0.8383, 0.1617, 0.5000)
Mg (0.6302, 0.6302, 0.3522)
Mg (0.7609, 0.2391, 0.0000)
Mg (0.3698, 0.3698, 0.6478)
Mg (0.2391, 0.7609, 0.0000)
Mg (0.1617, 0.8383, 0.5000)
Zn (0.3320, 0.3320, 0.0322)
Zn (0.6680, 0.6680, 0.9678)
Au (0.9596, 0.9596, 0.1946)
Au (0.0404, 0.0404, 0.8054)
Au (0.8700, 0.5389, 0.7002)
Au (0.1300, 0.4611, 0.2998)
Au (0.4611, 0.1300, 0.2998)
Au (0.5389, 0.8700, 0.7002)

* formation enthalpy at 0 K: -36.7 kJ/mol of atoms
* total DFT energy (no corrections): -2.651 eV/atom
* mass density: 9.0 Mg/m³
* symmetry: C2/m (12)

The following is a PBE calculation of a relaxed CsAlCl2 crystal, from the Alexandria database.

Cell lengths 5.6243, 5.6243, 5.6243 Å; angles 60.00, 60.00, 60.00 degrees
Element x y z (fractional)
Cs (0.5000, 0.5000, 0.5000)
Al (0.0000, 0.0000, 0.0000)
Cl (0.2500, 0.2500, 0.2500)
Cl (0.7500, 0.7500, 0.7500)

* total DFT energy (no corrections): -3.060 eV/atom
* mass density: 3.0 Mg/m³
* E_form (uncorrected): -987 meV/atom
* symmetry: Fm-3m (225)

Number 1: M_tot 0.00 μB/atom. Number 2: M_tot 0.00 μB/atom. Number 3: M_tot 0.00 μB/atom.